Entry 1:
Density functional theory data (PBE) for BeCrTc2 after structural relaxation.

Summary:
Energy relative to the elements ... 0.075 eV/atom
Theoretical density ... 8.44 g/cm³
SG ... Pmm2

```
BeCrTc2
1.0
2.6827 0.0000 0.0000
0.0000 3.8297 0.0000
0.0000 0.0000 4.9198
Be Cr Tc
1 1 2
direct
0.0000 0.0000 0.0000 Be
0.5000 0.5000 0.2318 Cr
0.0000 0.0000 0.4934 Tc
0.5000 0.5000 0.7688 Tc
```

---

Entry 2:
Density functional theory data (PBE) for TaTl3Se after structural relaxation.

Summary:
Theoretical density ... 8.08 g/cm³
Uncorrected formation energy ... 1301 meV/atom
SG ... Pm-3m

```
TaTl3Se
1.0
5.6399 0.0000 0.0000
0.0000 5.6399 0.0000
0.0000 0.0000 5.6399
Ta Tl Se
1 3 1
direct
0.0000 0.0000 0.0000 Ta
0.0000 0.5000 0.5000 Tl
0.5000 0.0000 0.5000 Tl
0.5000 0.5000 0.0000 Tl
0.5000 0.5000 0.5000 Se
```

---

Entry 3:
Density functional theory data (PBE) for PaAlCo5B2 after structural relaxation.

Summary:
Energy relative to the elements ... -0.275 eV/atom
Theoretical density ... 9.22 g/cm³
SG ... P4/mmm

```
PaAlCo5B2
1.0
3.9224 0.0000 0.0000
0.0000 3.9224 0.0000
0.0000 0.0000 6.7227
Pa Al Co B
1 1 5 2
direct
0.0000 0.0000 0.0000 Pa
0.0000 0.0000 0.5000 Al
0.0000 0.5000 0.2804 Co
0.0000 0.5000 0.7196 Co
0.5000 0.0000 0.2804 Co
0.5000 0.0000 0.7196 Co
0.5000 0.5000 0.0000 Co
0.5000 0.5000 0.3228 B
0.5000 0.5000 0.6772 B
```